No. 1
# LiZrAuS3

Crystalline LiZrAuS3 at its relaxed geometry (GGA-PBE, OQMD via LeMat-Bulk).

```
LiZrAuS3
1.0
13.373 0.000 0.000
0.000 3.699 0.000
0.000 0.000 10.558
Li Zr Au S
4 4 4 12
Direct
0.234 0.250 0.100
0.266 0.750 0.600
0.734 0.250 0.400
0.766 0.750 0.900
0.029 0.250 0.836
0.471 0.750 0.336
0.529 0.250 0.664
0.971 0.750 0.164
0.094 0.250 0.468
0.406 0.750 0.968
0.594 0.250 0.032
0.906 0.750 0.532
0.089 0.250 0.248
0.112 0.750 0.971
0.159 0.250 0.672
0.341 0.750 0.172
0.388 0.250 0.471
0.411 0.750 0.748
0.589 0.250 0.252
0.612 0.750 0.529
0.659 0.250 0.828
0.841 0.750 0.328
0.888 0.250 0.029
0.911 0.750 0.752
```

- calculated total energy (eV/atom) = -5.43
- offset from the most stable computed form (kcal/mol of atoms) = 0.000

***

No. 2
# LiSbAu

Crystalline LiSbAu at its relaxed geometry (GGA-PBE, OQMD via LeMat-Bulk).

```
LiSbAu
1.0
4.725 0.000 0.000
-2.363 4.092 0.000
0.000 0.000 6.337
Li Sb Au
2 2 2
Direct
0.000 0.000 0.000
0.000 0.000 0.500
0.333 0.667 0.250
0.667 0.333 0.750
0.333 0.667 0.750
0.667 0.333 0.250
```

- calculated total energy (eV/atom) = -3.46
- offset from the most stable computed form (kcal/mol of atoms) = 0.968

***

No. 3
# LiSb2Au

Crystalline LiSb2Au at its relaxed geometry (GGA-PBE, OQMD via LeMat-Bulk).

```
LiSb2Au
1.0
7.209 0.000 0.000
0.000 10.740 0.000
-3.309 0.000 5.320
Li Sb Au
4 8 4
Direct
0.000 0.136 0.000
0.000 0.864 0.500
0.500 0.364 0.500
0.500 0.636 0.000
0.370 0.129 0.678
0.370 0.871 0.178
0.498 0.127 0.205
0.498 0.873 0.705
0.870 0.371 0.178
0.870 0.629 0.678
0.998 0.373 0.705
0.998 0.627 0.205
0.435 0.388 0.942
0.435 0.612 0.442
0.935 0.112 0.442
0.935 0.888 0.942
```

- calculated total energy (eV/atom) = -3.57
- offset from the most stable computed form (kcal/mol of atoms) = 0.000

***

No. 4
# LiSbAu

Crystalline LiSbAu at its relaxed geometry (GGA-PBE, OQMD via LeMat-Bulk).

```
LiSbAu
1.0
7.154 0.000 0.000
-3.577 6.196 0.000
0.000 0.000 4.373
Li Sb Au
3 3 3
Direct
0.000 0.565 0.000
0.435 0.435 0.000
0.565 0.000 0.000
0.000 0.000 0.000
0.333 0.667 0.500
0.667 0.333 0.500
0.000 0.252 0.500
0.252 0.000 0.500
0.748 0.748 0.500
```

- calculated total energy (eV/atom) = -3.41
- offset from the most stable computed form (kcal/mol of atoms) = 2.179

***

No. 5
# LiSbAu

Crystalline LiSbAu at its relaxed geometry (GGA-PBE, OQMD via LeMat-Bulk).

```
LiSbAu
1.0
5.173 0.000 0.000
0.000 4.635 0.000
0.000 0.000 10.010
Li Sb Au
4 4 4
Direct
0.198 0.250 0.154
0.302 0.750 0.654
0.698 0.250 0.346
0.802 0.750 0.846
0.166 0.250 0.848
0.334 0.750 0.348
0.666 0.250 0.652
0.834 0.750 0.152
0.170 0.250 0.475
0.330 0.750 0.975
0.670 0.250 0.025
0.830 0.750 0.525
```

- calculated total energy (eV/atom) = -3.43
- offset from the most stable computed form (kcal/mol of atoms) = 1.817

***

No. 6
# LiSbAu

Crystalline LiSbAu at its relaxed geometry (GGA-PBE, OQMD via LeMat-Bulk).

```
LiSbAu
1.0
7.757 0.000 0.000
-3.879 6.718 0.000
0.000 0.000 3.375
Li Sb Au
3 3 3
Direct
0.000 0.289 0.000
0.289 0.000 0.000
0.711 0.711 0.000
0.000 0.000 0.500
0.333 0.667 0.000
0.667 0.333 0.000
0.000 0.633 0.500
0.367 0.367 0.500
0.633 0.000 0.500
```

- calculated total energy (eV/atom) = -3.39
- offset from the most stable computed form (kcal/mol of atoms) = 2.777

***

No. 7
# LiSbAu

Crystalline LiSbAu at its relaxed geometry (GGA-PBE, OQMD via LeMat-Bulk).

```
LiSbAu
1.0
4.508 0.000 0.000
-2.254 3.904 0.000
0.000 0.000 7.300
Li Sb Au
2 2 2
Direct
0.000 0.000 0.000
0.000 0.000 0.500
0.333 0.667 0.231
0.667 0.333 0.731
0.333 0.667 0.853
0.667 0.333 0.353
```

- calculated total energy (eV/atom) = -3.51
- offset from the most stable computed form (kcal/mol of atoms) = 0.000

***

No. 8
# LiSbAu

Crystalline LiSbAu at its relaxed geometry (GGA-PBE, OQMD via LeMat-Bulk).

```
LiSbAu
1.0
4.794 0.000 0.000
-2.397 4.152 0.000
0.000 0.000 5.760
Li Sb Au
2 2 2
Direct
0.333 0.667 0.250
0.667 0.333 0.750
0.333 0.667 0.750
0.667 0.333 0.250
0.000 0.000 0.000
0.000 0.000 0.500
```

- calculated total energy (eV/atom) = -3.34
- offset from the most stable computed form (kcal/mol of atoms) = 3.890

***

No. 9
# LiSbAu

Crystalline LiSbAu at its relaxed geometry (GGA-PBE, OQMD via LeMat-Bulk).

```
LiSbAu
1.0
7.572 0.000 0.000
-3.786 6.558 0.000
0.000 0.000 3.777
Li Sb Au
3 3 3
Direct
0.000 0.621 0.000
0.379 0.379 0.000
0.621 0.000 0.000
0.000 0.284 0.500
0.284 0.000 0.500
0.716 0.716 0.500
0.000 0.000 0.000
0.333 0.667 0.500
0.667 0.333 0.500
```

- calculated total energy (eV/atom) = -3.48
- offset from the most stable computed form (kcal/mol of atoms) = 0.515

***

No. 10
# LiSbAu

Crystalline LiSbAu at its relaxed geometry (GGA-PBE, OQMD via LeMat-Bulk).

```
LiSbAu
1.0
6.412 0.000 0.000
0.000 6.412 0.000
0.000 0.000 6.412
Li Sb Au
4 4 4
Direct
0.000 0.000 0.000
0.000 0.500 0.500
0.500 0.000 0.500
0.500 0.500 0.000
0.250 0.250 0.750
0.250 0.750 0.250
0.750 0.250 0.250
0.750 0.750 0.750
0.000 0.000 0.500
0.000 0.500 0.000
0.500 0.000 0.000
0.500 0.500 0.500
```

- calculated total energy (eV/atom) = -3.43
- offset from the most stable computed form (kcal/mol of atoms) = 1.871

***

No. 11
# Li2SbAu

Crystalline Li2SbAu at its relaxed geometry (GGA-PBE, OQMD via LeMat-Bulk).

```
Li2SbAu
1.0
6.573 0.000 0.000
0.000 6.573 0.000
0.000 0.000 6.573
Li Sb Au
8 4 4
Direct
0.000 0.000 0.000
0.000 0.500 0.500
0.250 0.250 0.250
0.250 0.750 0.750
0.500 0.000 0.500
0.500 0.500 0.000
0.750 0.250 0.750
0.750 0.750 0.250
0.000 0.000 0.500
0.000 0.500 0.000
0.500 0.000 0.000
0.500 0.500 0.500
0.250 0.250 0.750
0.250 0.750 0.250
0.750 0.250 0.250
0.750 0.750 0.750
```

- calculated total energy (eV/atom) = -3.34

***

No. 12
# LiSbAu

Crystalline LiSbAu at its relaxed geometry (GGA-PBE, OQMD via LeMat-Bulk).

```
LiSbAu
1.0
6.754 0.000 0.000
0.000 4.682 0.000
0.000 0.000 8.120
Li Sb Au
4 4 4
Direct
0.052 0.250 0.160
0.448 0.750 0.660
0.552 0.250 0.340
0.948 0.750 0.840
0.197 0.750 0.357
0.303 0.250 0.857
0.697 0.750 0.143
0.803 0.250 0.643
0.217 0.250 0.529
0.283 0.750 0.029
0.717 0.250 0.971
0.783 0.750 0.471
```

- calculated total energy (eV/atom) = -3.48
- offset from the most stable computed form (kcal/mol of atoms) = 0.536